No. 1
First-principles (GGA-PBEsol) data for crystalline MgZr2Hg at its relaxed geometry, as listed in Alexandria.

Summary:
Symmetry: P4mm (99)
Energy of formation, eV per atom: -0.172
Calculated density, g/cm3: 7.94
Energy above the lowest structure with this stoichiometry, kJ/mol of atoms: 0.0
Calculated total energy, eV/atom: -5.29

CIF file:
```
data_MgZr2Hg
_space_group_name_H-M_alt 'P 1'
_space_group_IT_number 1
_space_group_name_Hall 'P 1'
_cell_length_a 3.1353
_cell_length_b 3.1353
_cell_length_c 8.6685
_cell_angle_alpha 90.00
_cell_angle_beta 90.00
_cell_angle_gamma 90.00
loop_
_atom_site_label
_atom_site_fract_x
_atom_site_fract_y
_atom_site_fract_z
_atom_site_occupancy
Mg1 0.0000 0.0000 0.0000 1
Zr1 0.0000 0.0000 0.5290 1
Zr2 0.5000 0.5000 0.2719 1
Hg1 0.5000 0.5000 0.7771 1
```

=====

No. 2
First-principles (GGA-PBEsol) data for crystalline MgZr2Hg at its relaxed geometry, as listed in Alexandria.

Summary:
Symmetry: Cmmm (65)
Energy of formation, eV per atom: -0.129
Calculated density, g/cm3: 8.12
Energy above the lowest structure with this stoichiometry, kJ/mol of atoms: 4.1
Calculated total energy, eV/atom: -5.25

CIF file:
```
data_MgZr2Hg
_space_group_name_H-M_alt 'P 1'
_space_group_IT_number 1
_space_group_name_Hall 'P 1'
_cell_length_a 5.2387
_cell_length_b 5.2387
_cell_length_c 3.2670
_cell_angle_alpha 90.00
_cell_angle_beta 90.00
_cell_angle_gamma 111.79
loop_
_atom_site_label
_atom_site_fract_x
_atom_site_fract_y
_atom_site_fract_z
_atom_site_occupancy
Mg1 0.0000 0.0000 0.0000 1
Zr1 0.0000 0.5000 0.5000 1
Zr2 0.5000 0.0000 0.5000 1
Hg1 0.5000 0.5000 0.0000 1
```

=====

No. 3
First-principles (GGA-PBEsol) data for crystalline MgZrHg at its relaxed geometry, as listed in Alexandria.

Summary:
Symmetry: I4mm (107)
Energy of formation, eV per atom: -0.184
Calculated density, g/cm3: 8.44
Calculated total energy, eV/atom: -3.98

CIF file:
```
data_MgZrHg
_space_group_name_H-M_alt 'P 1'
_space_group_IT_number 1
_space_group_name_Hall 'P 1'
_cell_length_a 6.6777
_cell_length_b 6.6777
_cell_length_c 6.6777
_cell_angle_alpha 152.79
_cell_angle_beta 152.79
_cell_angle_gamma 38.86
loop_
_atom_site_label
_atom_site_fract_x
_atom_site_fract_y
_atom_site_fract_z
_atom_site_occupancy
Mg1 0.0000 0.0000 0.0000 1
Zr1 0.3199 0.3199 0.0000 1
Hg1 0.6555 0.6555 0.0000 1
```

=====

No. 4
First-principles (GGA-PBEsol) data for crystalline MgZr2Hg at its relaxed geometry, as listed in Alexandria.

Summary:
Symmetry: P4/mmm (123)
Energy of formation, eV per atom: -0.170
Calculated density, g/cm3: 8.23
Energy above the lowest structure with this stoichiometry, kJ/mol of atoms: 0.1
Calculated total energy, eV/atom: -5.29

CIF file:
```
data_MgZr2Hg
_space_group_name_H-M_alt 'P 1'
_space_group_IT_number 1
_space_group_name_Hall 'P 1'
_cell_length_a 4.3122
_cell_length_b 4.3122
_cell_length_c 4.4185
_cell_angle_alpha 90.00
_cell_angle_beta 90.00
_cell_angle_gamma 90.00
loop_
_atom_site_label
_atom_site_fract_x
_atom_site_fract_y
_atom_site_fract_z
_atom_site_occupancy
Mg1 0.0000 0.0000 0.0000 1
Zr1 0.0000 0.5000 0.5000 1
Zr2 0.5000 0.0000 0.5000 1
Hg1 0.5000 0.5000 0.0000 1
```

=====

No. 5
First-principles (GGA-PBEsol) data for crystalline MgZr2Hg at its relaxed geometry, as listed in Alexandria.

Summary:
Symmetry: Cm (8)
Energy of formation, eV per atom: -0.139
Calculated density, g/cm3: 8.06
Energy above the lowest structure with this stoichiometry, kJ/mol of atoms: 3.1
Calculated total energy, eV/atom: -5.26

CIF file:
```
data_MgZr2Hg
_space_group_name_H-M_alt 'P 1'
_space_group_IT_number 1
_space_group_name_Hall 'P 1'
_cell_length_a 5.5292
_cell_length_b 5.5292
_cell_length_c 5.2829
_cell_angle_alpha 110.69
_cell_angle_beta 110.69
_cell_angle_gamma 33.98
loop_
_atom_site_label
_atom_site_fract_x
_atom_site_fract_y
_atom_site_fract_z
_atom_site_occupancy
Mg1 0.0000 0.0000 0.0000 1
Zr1 0.5201 0.5201 0.5111 1
Zr2 0.7659 0.7659 0.3668 1
Hg1 0.2637 0.2637 0.8785 1
```

=====

No. 6
First-principles (GGA-PBEsol) data for crystalline Mg2ZrHg2 at its relaxed geometry, as listed in Alexandria.

Summary:
Symmetry: I4/mmm (139)
Energy of formation, eV per atom: -0.053
Calculated density, g/cm3: 8.47
Calculated total energy, eV/atom: -2.78

CIF file:
```
data_Mg2ZrHg2
_space_group_name_H-M_alt 'P 1'
_space_group_IT_number 1
_space_group_name_Hall 'P 1'
_cell_length_a 6.9773
_cell_length_b 6.9773
_cell_length_c 6.9773
_cell_angle_alpha 145.94
_cell_angle_beta 145.94
_cell_angle_gamma 48.94
loop_
_atom_site_label
_atom_site_fract_x
_atom_site_fract_y
_atom_site_fract_z
_atom_site_occupancy
Mg1 0.2500 0.7500 0.5000 1
Mg2 0.7500 0.2500 0.5000 1
Zr1 0.0000 0.0000 0.0000 1
Hg1 0.3944 0.3944 0.0000 1
Hg2 0.6056 0.6056 0.0000 1
```

=====

No. 7
First-principles (GGA-PBEsol) data for crystalline MgZr2Hg at its relaxed geometry, as listed in Alexandria.

Summary:
Symmetry: Pmm2 (25)
Energy of formation, eV per atom: -0.117
Calculated density, g/cm3: 8.01
Energy above the lowest structure with this stoichiometry, kJ/mol of atoms: 5.3
Calculated total energy, eV/atom: -5.23

CIF file:
```
data_MgZr2Hg
_space_group_name_H-M_alt 'P 1'
_space_group_IT_number 1
_space_group_name_Hall 'P 1'
_cell_length_a 3.1914
_cell_length_b 4.1664
_cell_length_c 6.3501
_cell_angle_alpha 90.00
_cell_angle_beta 90.00
_cell_angle_gamma 90.00
loop_
_atom_site_label
_atom_site_fract_x
_atom_site_fract_y
_atom_site_fract_z
_atom_site_occupancy
Mg1 0.0000 0.0000 0.0000 1
Zr1 0.0000 0.0000 0.5068 1
Zr2 0.5000 0.5000 0.2613 1
Hg1 0.5000 0.5000 0.7653 1
```

=====

No. 8
First-principles (GGA-PBEsol) data for crystalline MnHg3 at its relaxed geometry, as listed in Alexandria.

Summary:
Symmetry: C2/m (12)
Energy of formation, eV per atom: 0.271
Calculated density, g/cm3: 13.71
Calculated total energy, eV/atom: -2.59

CIF file:
```
data_MnHg3
_space_group_name_H-M_alt 'P 1'
_space_group_IT_number 1
_space_group_name_Hall 'P 1'
_cell_length_a 5.1041
_cell_length_b 5.1041
_cell_length_c 5.3054
_cell_angle_alpha 104.04
_cell_angle_beta 104.04
_cell_angle_gamma 36.53
loop_
_atom_site_label
_atom_site_fract_x
_atom_site_fract_y
_atom_site_fract_z
_atom_site_occupancy
Mn1 0.0000 0.0000 0.0000 1
Hg1 0.2624 0.2624 0.7675 1
Hg2 0.5000 0.5000 0.5000 1
Hg3 0.7376 0.7376 0.2325 1
```

=====

No. 9
First-principles (GGA-PBEsol) data for crystalline Mn3Hg at its relaxed geometry, as listed in Alexandria.

Summary:
Symmetry: Pm-3m (221)
Energy of formation, eV per atom: 0.556
Calculated density, g/cm3: 10.05
Calculated total energy, eV/atom: -6.91

CIF file:
```
data_Mn3Hg
_space_group_name_H-M_alt 'P 1'
_space_group_IT_number 1
_space_group_name_Hall 'P 1'
_cell_length_a 3.9224
_cell_length_b 3.9224
_cell_length_c 3.9224
_cell_angle_alpha 90.00
_cell_angle_beta 90.00
_cell_angle_gamma 90.00
loop_
_atom_site_label
_atom_site_fract_x
_atom_site_fract_y
_atom_site_fract_z
_atom_site_occupancy
Mn1 0.0000 0.0000 0.5000 1
Mn2 0.0000 0.5000 0.0000 1
Mn3 0.5000 0.0000 0.0000 1
Hg1 0.5000 0.5000 0.5000 1
```

=====

No. 10
First-principles (GGA-PBEsol) data for crystalline MnHg3 at its relaxed geometry, as listed in Alexandria.

Summary:
Symmetry: Immm (71)
Energy of formation, eV per atom: 0.217
Calculated density, g/cm3: 13.09
Calculated total energy, eV/atom: -2.65

CIF file:
```
data_MnHg3
_space_group_name_H-M_alt 'P 1'
_space_group_IT_number 1
_space_group_name_Hall 'P 1'
_cell_length_a 6.6359
_cell_length_b 6.6359
_cell_length_c 6.6359
_cell_angle_alpha 154.12
_cell_angle_beta 139.02
_cell_angle_gamma 49.10
loop_
_atom_site_label
_atom_site_fract_x
_atom_site_fract_y
_atom_site_fract_z
_atom_site_occupancy
Mn1 0.0000 0.0000 0.0000 1
Hg1 0.1945 0.6945 0.5000 1
Hg2 0.5000 0.5000 0.0000 1
Hg3 0.8055 0.3055 0.5000 1
```

=====

No. 11
First-principles (GGA-PBEsol) data for crystalline MnHg at its relaxed geometry, as listed in Alexandria.

Summary:
Symmetry: Fd-3m (227)
Energy of formation, eV per atom: 0.556
Calculated density, g/cm3: 12.24
Energy above the lowest structure with this stoichiometry, kJ/mol of atoms: 16.9
Calculated total energy, eV/atom: -4.61

CIF file:
```
data_MnHg
_space_group_name_H-M_alt 'P 1'
_space_group_IT_number 1
_space_group_name_Hall 'P 1'
_cell_length_a 4.6110
_cell_length_b 4.6110
_cell_length_c 4.6110
_cell_angle_alpha 60.00
_cell_angle_beta 60.00
_cell_angle_gamma 60.00
loop_
_atom_site_label
_atom_site_fract_x
_atom_site_fract_y
_atom_site_fract_z
_atom_site_occupancy
Mn1 0.1250 0.1250 0.1250 1
Mn2 0.8750 0.8750 0.8750 1
Hg1 0.3750 0.3750 0.3750 1
Hg2 0.6250 0.6250 0.6250 1
```

=====

No. 12
First-principles (GGA-PBEsol) data for crystalline MnHg at its relaxed geometry, as listed in Alexandria.

Summary:
Symmetry: P6_3/mmc (194)
Energy of formation, eV per atom: 0.461
Calculated density, g/cm3: 12.03
Energy above the lowest structure with this stoichiometry, kJ/mol of atoms: 7.7
Calculated total energy, eV/atom: -4.70

CIF file:
```
data_MnHg
_space_group_name_H-M_alt 'P 1'
_space_group_IT_number 1
_space_group_name_Hall 'P 1'
_cell_length_a 3.0381
_cell_length_b 3.0381
_cell_length_c 8.8263
_cell_angle_alpha 90.00
_cell_angle_beta 90.00
_cell_angle_gamma 120.00
loop_
_atom_site_label
_atom_site_fract_x
_atom_site_fract_y
_atom_site_fract_z
_atom_site_occupancy
Mn1 0.3333 0.6667 0.2500 1
Mn2 0.6667 0.3333 0.7500 1
Hg1 0.0000 0.0000 0.0000 1
Hg2 0.0000 0.0000 0.5000 1
```

=====

No. 13
First-principles (GGA-PBEsol) data for crystalline Mn3Hg at its relaxed geometry, as listed in Alexandria.

Summary:
Symmetry: I4/mmm (139)
Energy of formation, eV per atom: 0.391
Calculated density, g/cm3: 10.83
Calculated total energy, eV/atom: -7.07

CIF file:
```
data_Mn3Hg
_space_group_name_H-M_alt 'P 1'
_space_group_IT_number 1
_space_group_name_Hall 'P 1'
_cell_length_a 4.6761
_cell_length_b 4.6761
_cell_length_c 4.6761
_cell_angle_alpha 131.60
_cell_angle_beta 131.60
_cell_angle_gamma 70.87
loop_
_atom_site_label
_atom_site_fract_x
_atom_site_fract_y
_atom_site_fract_z
_atom_site_occupancy
Mn1 0.0000 0.0000 0.0000 1
Mn2 0.2500 0.7500 0.5000 1
Mn3 0.7500 0.2500 0.5000 1
Hg1 0.5000 0.5000 0.0000 1
```

=====

No. 14
First-principles (GGA-PBEsol) data for crystalline MnHg at its relaxed geometry, as listed in Alexandria.

Summary:
Symmetry: Pm-3m (221)
Energy of formation, eV per atom: 0.381
Calculated density, g/cm3: 12.39
Energy above the lowest structure with this stoichiometry, kJ/mol of atoms: 0.0
Calculated total energy, eV/atom: -4.78

CIF file:
```
data_MnHg
_space_group_name_H-M_alt 'P 1'
_space_group_IT_number 1
_space_group_name_Hall 'P 1'
_cell_length_a 3.2473
_cell_length_b 3.2473
_cell_length_c 3.2473
_cell_angle_alpha 90.00
_cell_angle_beta 90.00
_cell_angle_gamma 90.00
loop_
_atom_site_label
_atom_site_fract_x
_atom_site_fract_y
_atom_site_fract_z
_atom_site_occupancy
Mn1 0.0000 0.0000 0.0000 1
Hg1 0.5000 0.5000 0.5000 1
```

=====

No. 15
First-principles (GGA-PBEsol) data for crystalline Mn3Hg at its relaxed geometry, as listed in Alexandria.

Summary:
Symmetry: Pm-3m (221)
Energy of formation, eV per atom: 1.855
Calculated density, g/cm3: 4.70
Calculated total energy, eV/atom: -5.61

CIF file:
```
data_Mn3Hg
_space_group_name_H-M_alt 'P 1'
_space_group_IT_number 1
_space_group_name_Hall 'P 1'
_cell_length_a 5.0553
_cell_length_b 5.0553
_cell_length_c 5.0553
_cell_angle_alpha 90.00
_cell_angle_beta 90.00
_cell_angle_gamma 90.00
loop_
_atom_site_label
_atom_site_fract_x
_atom_site_fract_y
_atom_site_fract_z
_atom_site_occupancy
Mn1 0.0000 0.0000 0.5000 1
Mn2 0.0000 0.5000 0.0000 1
Mn3 0.5000 0.0000 0.0000 1
Hg1 0.0000 0.0000 0.0000 1
```

=====

No. 16
First-principles (GGA-PBEsol) data for crystalline MnHg2Mo at its relaxed geometry, as listed in Alexandria.

Summary:
Symmetry: Pmmm (47)
Energy of formation, eV per atom: 0.517
Calculated density, g/cm3: 13.49
Energy above the lowest structure with this stoichiometry, kJ/mol of atoms: 3.1
Calculated total energy, eV/atom: -5.15

CIF file:
```
data_MnHg2Mo
_space_group_name_H-M_alt 'P 1'
_space_group_IT_number 1
_space_group_name_Hall 'P 1'
_cell_length_a 2.8733
_cell_length_b 4.0381
_cell_length_c 5.8563
_cell_angle_alpha 90.00
_cell_angle_beta 90.00
_cell_angle_gamma 90.00
loop_
_atom_site_label
_atom_site_fract_x
_atom_site_fract_y
_atom_site_fract_z
_atom_site_occupancy
Mn1 0.0000 0.0000 0.0000 1
Hg1 0.5000 0.5000 0.2460 1
Hg2 0.5000 0.5000 0.7540 1
Mo1 0.0000 0.0000 0.5000 1
```

=====

No. 17
First-principles (GGA-PBEsol) data for crystalline MnHgMo2 at its relaxed geometry, as listed in Alexandria.

Summary:
Symmetry: P4mm (99)
Energy of formation, eV per atom: 0.321
Calculated density, g/cm3: 11.81
Calculated total energy, eV/atom: -8.15

CIF file:
```
data_MnHgMo2
_space_group_name_H-M_alt 'P 1'
_space_group_IT_number 1
_space_group_name_Hall 'P 1'
_cell_length_a 3.1821
_cell_length_b 3.1821
_cell_length_c 6.2151
_cell_angle_alpha 90.00
_cell_angle_beta 90.00
_cell_angle_gamma 90.00
loop_
_atom_site_label
_atom_site_fract_x
_atom_site_fract_y
_atom_site_fract_z
_atom_site_occupancy
Mn1 0.0000 0.0000 0.0000 1
Hg1 0.5000 0.5000 0.7439 1
Mo1 0.0000 0.0000 0.4474 1
Mo2 0.5000 0.5000 0.2265 1
```

=====

No. 18
First-principles (GGA-PBEsol) data for crystalline Mn2HgMo at its relaxed geometry, as listed in Alexandria.

Summary:
Symmetry: Cmmm (65)
Energy of formation, eV per atom: 0.401
Calculated density, g/cm3: 11.21
Calculated total energy, eV/atom: -7.56

CIF file:
```
data_Mn2HgMo
_space_group_name_H-M_alt 'P 1'
_space_group_IT_number 1
_space_group_name_Hall 'P 1'
_cell_length_a 2.7472
_cell_length_b 2.7472
_cell_length_c 8.2595
_cell_angle_alpha 90.00
_cell_angle_beta 90.00
_cell_angle_gamma 105.06
loop_
_atom_site_label
_atom_site_fract_x
_atom_site_fract_y
_atom_site_fract_z
_atom_site_occupancy
Mn1 0.0000 0.0000 0.2301 1
Mn2 0.0000 0.0000 0.7699 1
Hg1 0.5000 0.5000 0.5000 1
Mo1 0.5000 0.5000 0.0000 1
```

=====

No. 19
First-principles (GGA-PBEsol) data for crystalline MnHgMo2 at its relaxed geometry, as listed in Alexandria.

Summary:
Symmetry: I4/mmm (139)
Energy of formation, eV per atom: 0.451
Calculated density, g/cm3: 12.11
Calculated total energy, eV/atom: -8.02

CIF file:
```
data_MnHgMo2
_space_group_name_H-M_alt 'P 1'
_space_group_IT_number 1
_space_group_name_Hall 'P 1'
_cell_length_a 5.0688
_cell_length_b 5.0688
_cell_length_c 5.0688
_cell_angle_alpha 136.31
_cell_angle_beta 136.31
_cell_angle_gamma 63.51
loop_
_atom_site_label
_atom_site_fract_x
_atom_site_fract_y
_atom_site_fract_z
_atom_site_occupancy
Mn1 0.0000 0.0000 0.0000 1
Hg1 0.5000 0.5000 0.0000 1
Mo1 0.2500 0.7500 0.5000 1
Mo2 0.7500 0.2500 0.5000 1
```

=====

No. 20
First-principles (GGA-PBEsol) data for crystalline Mn2HgMo at its relaxed geometry, as listed in Alexandria.

Summary:
Symmetry: R-3m (166)
Energy of formation, eV per atom: 0.473
Calculated density, g/cm3: 10.92
Calculated total energy, eV/atom: -7.49

CIF file:
```
data_Mn2HgMo
_space_group_name_H-M_alt 'P 1'
_space_group_IT_number 1
_space_group_name_Hall 'P 1'
_cell_length_a 8.5926
_cell_length_b 8.5926
_cell_length_c 8.5926
_cell_angle_alpha 19.50
_cell_angle_beta 19.50
_cell_angle_gamma 19.50
loop_
_atom_site_label
_atom_site_fract_x
_atom_site_fract_y
_atom_site_fract_z
_atom_site_occupancy
Mn1 0.2428 0.2428 0.2428 1
Mn2 0.7572 0.7572 0.7572 1
Hg1 0.0000 0.0000 0.0000 1
Mo1 0.5000 0.5000 0.5000 1
```